# 1
Cu2OsRh: relaxed, GGA-PBEsol.

CIF file:
```
data_Cu2OsRh
_symmetry_space_group_name_H-M 'C 1 m 1'
_symmetry_Int_Tables_number 8
_cell_length_a 8.6570
_cell_length_b 2.6478
_cell_length_c 4.5072
_cell_angle_alpha 90.00
_cell_angle_beta 99.55
_cell_angle_gamma 90.00
loop_
_symmetry_equiv_pos_as_xyz
'x,y,z'
'x,-y,z'
'x+1/2,y+1/2,z'
'x+1/2,-y+1/2,z'
loop_
_atom_site_label
_atom_site_fract_x
_atom_site_fract_y
_atom_site_fract_z
Cu1 0.0000 0.0000 0.0000
Cu2 0.2503 0.0000 0.7929
Os1 0.2507 0.5000 0.2923
Rh1 0.4976 0.0000 0.4975
```

Computed properties:
**Energy of formation**: 0.19 eV per atom
**E**: -7.06 eV/atom
**Calculated volume**: 51 Å³/f.u.

=====

# 2
CuOsRu: relaxed, GGA-PBEsol.

CIF file:
```
data_CuOsRu
_symmetry_space_group_name_H-M 'F m m 2'
_symmetry_Int_Tables_number 42
_symmetry_space_group_name_Hall 'F 2 -2'
_cell_length_a 2.7185
_cell_length_b 4.4658
_cell_length_c 13.3331
_cell_angle_alpha 90.00
_cell_angle_beta 90.00
_cell_angle_gamma 90.00
loop_
_atom_site_label
_atom_site_fract_x
_atom_site_fract_y
_atom_site_fract_z
Cu1 0.0000 0.0000 0.0000
Os1 0.0000 0.0000 0.3321
Ru1 0.0000 0.0000 0.6665
```

Computed properties:
**Energy of formation**: 0.53 eV per atom
**E**: -8.38 eV/atom
**Polymorph energy (0 for the lowest one)**: 0.99 eV/f.u.
**Calculated volume**: 40 Å³/f.u.

=====

# 3
Cu2OsRu: relaxed, GGA-PBEsol.

CIF file:
```
data_Cu2OsRu
_symmetry_space_group_name_H-M 'I m m m'
_symmetry_Int_Tables_number 71
_symmetry_space_group_name_Hall '-I 2 2'
_cell_length_a 2.7086
_cell_length_b 4.3644
_cell_length_c 8.7691
_cell_angle_alpha 90.00
_cell_angle_beta 90.00
_cell_angle_gamma 90.00
loop_
_atom_site_label
_atom_site_fract_x
_atom_site_fract_y
_atom_site_fract_z
Cu1 0.0000 0.0000 0.2504
Os1 0.0000 0.5000 0.0000
Ru1 0.0000 0.5000 0.5000
```

Computed properties:
**Energy of formation**: 0.46 eV per atom
**E**: -7.30 eV/atom
**Polymorph energy (0 for the lowest one)**: 0.81 eV/f.u.
**Calculated volume**: 52 Å³/f.u.

=====

# 4
Cu2OsRu: relaxed, GGA-PBEsol.

CIF file:
```
data_Cu2OsRu
_symmetry_space_group_name_H-M 'C 1 m 1'
_symmetry_Int_Tables_number 8
_cell_length_a 8.6350
_cell_length_b 2.6556
_cell_length_c 4.4994
_cell_angle_alpha 90.00
_cell_angle_beta 99.81
_cell_angle_gamma 90.00
loop_
_symmetry_equiv_pos_as_xyz
'x,y,z'
'x,-y,z'
'x+1/2,y+1/2,z'
'x+1/2,-y+1/2,z'
loop_
_atom_site_label
_atom_site_fract_x
_atom_site_fract_y
_atom_site_fract_z
Cu1 0.0000 0.0000 0.0000
Cu2 0.2487 0.5000 0.2017
Os1 0.0002 0.5000 0.4999
Ru1 0.2476 0.0000 0.7002
```

Computed properties:
**Energy of formation**: 0.26 eV per atom
**E**: -7.50 eV/atom
**Polymorph energy (0 for the lowest one)**: 0.00 eV/f.u.
**Calculated volume**: 51 Å³/f.u.

=====

# 5
CuOsRu: relaxed, GGA-PBEsol.

CIF file:
```
data_CuOsRu
_symmetry_space_group_name_H-M 'I m m 2'
_symmetry_Int_Tables_number 44
_cell_length_a 2.7068
_cell_length_b 3.6587
_cell_length_c 7.8624
_cell_angle_alpha 90.00
_cell_angle_beta 90.00
_cell_angle_gamma 90.00
loop_
_symmetry_equiv_pos_as_xyz
'x,y,z'
'-x,-y,z'
'-x,y,z'
'x,-y,z'
'x+1/2,y+1/2,z+1/2'
'-x+1/2,-y+1/2,z+1/2'
'-x+1/2,y+1/2,z+1/2'
'x+1/2,-y+1/2,z+1/2'
loop_
_atom_site_label
_atom_site_fract_x
_atom_site_fract_y
_atom_site_fract_z
Cu1 0.0000 0.0000 0.0000
Os1 0.0000 0.0000 0.3302
Ru1 0.0000 0.0000 0.6712
```

Computed properties:
**Energy of formation**: 0.20 eV per atom
**E**: -8.70 eV/atom
**Polymorph energy (0 for the lowest one)**: 0.00 eV/f.u.
**Calculated volume**: 39 Å³/f.u.

=====

# 6
ScCuSnOs2: relaxed, GGA-PBEsol.

CIF file:
```
data_ScCuSnOs2
_symmetry_space_group_name_H-M 'P 4/m m m'
_symmetry_Int_Tables_number 123
_symmetry_space_group_name_Hall '-P 4 2'
_cell_length_a 4.6641
_cell_length_b 4.6641
_cell_length_c 4.4326
_cell_angle_alpha 90.00
_cell_angle_beta 90.00
_cell_angle_gamma 90.00
loop_
_atom_site_label
_atom_site_fract_x
_atom_site_fract_y
_atom_site_fract_z
Sc1 0.0000 0.0000 0.0000
Cu1 0.0000 0.0000 0.5000
Sn1 0.5000 0.5000 0.5000
Os1 0.0000 0.5000 0.0000
```

Computed properties:
**Energy of formation**: 1.72 eV per atom
**E**: -6.20 eV/atom
**Calculated volume**: 96 Å³/f.u.

=====

# 7
CuOsSe2: relaxed, GGA-PBEsol.

CIF file:
```
data_CuOsSe2
_symmetry_space_group_name_H-M 'P -4 m 2'
_symmetry_Int_Tables_number 115
_cell_length_a 3.6961
_cell_length_b 3.6961
_cell_length_c 5.2779
_cell_angle_alpha 90.00
_cell_angle_beta 90.00
_cell_angle_gamma 90.00
loop_
_symmetry_equiv_pos_as_xyz
'x,y,z'
'y,-x,-z'
'-x,-y,z'
'-y,x,-z'
'-x,y,z'
'-y,-x,-z'
'x,-y,z'
'y,x,-z'
loop_
_atom_site_label
_atom_site_fract_x
_atom_site_fract_y
_atom_site_fract_z
Cu1 0.0000 0.0000 0.0000
Os1 0.5000 0.5000 0.0000
Se1 0.0000 0.5000 0.3083
```

Computed properties:
**E**: -5.83 eV/atom
**Polymorph energy (0 for the lowest one)**: 0.00 eV/f.u.
**Formation energy without anion corrections**: 233 meV/atom
**Calculated volume**: 72 Å³/f.u.

=====

# 8
CuOsSe2: relaxed, GGA-PBEsol.

CIF file:
```
data_CuOsSe2
_symmetry_space_group_name_H-M 'I m m m'
_symmetry_Int_Tables_number 71
_symmetry_space_group_name_Hall '-I 2 2'
_cell_length_a 2.9534
_cell_length_b 4.2288
_cell_length_c 11.4225
_cell_angle_alpha 90.00
_cell_angle_beta 90.00
_cell_angle_gamma 90.00
loop_
_atom_site_label
_atom_site_fract_x
_atom_site_fract_y
_atom_site_fract_z
Cu1 0.0000 0.0000 0.0000
Os1 0.0000 0.0000 0.5000
Se1 0.0000 0.5000 0.1730
```

Computed properties:
**E**: -5.77 eV/atom
**Polymorph energy (0 for the lowest one)**: 0.23 eV/f.u.
**Formation energy without anion corrections**: 291 meV/atom
**Calculated volume**: 71 Å³/f.u.

=====

# 9
CuOs3Se: relaxed, GGA-PBEsol.

CIF file:
```
data_CuOs3Se
_symmetry_space_group_name_H-M 'P m -3 m'
_symmetry_Int_Tables_number 221
_symmetry_space_group_name_Hall '-P 4 2 3'
_cell_length_a 4.4625
_cell_length_b 4.4625
_cell_length_c 4.4625
_cell_angle_alpha 90.00
_cell_angle_beta 90.00
_cell_angle_gamma 90.00
loop_
_atom_site_label
_atom_site_fract_x
_atom_site_fract_y
_atom_site_fract_z
Cu1 0.0000 0.0000 0.0000
Os1 0.0000 0.5000 0.5000
Se1 0.5000 0.5000 0.5000
```

Computed properties:
**E**: -6.93 eV/atom
**Formation energy without anion corrections**: 2035 meV/atom
**Calculated volume**: 89 Å³/f.u.

=====

# 10
CuOsSe2: relaxed, GGA-PBEsol.

CIF file:
```
data_CuOsSe2
_symmetry_space_group_name_H-M 'P m m m'
_symmetry_Int_Tables_number 47
_cell_length_a 3.0598
_cell_length_b 4.4343
_cell_length_c 4.4450
_cell_angle_alpha 90.00
_cell_angle_beta 90.00
_cell_angle_gamma 90.00
loop_
_symmetry_equiv_pos_as_xyz
'x,y,z'
'-x,-y,-z'
'-x,-y,z'
'x,y,-z'
'x,-y,-z'
'-x,y,z'
'-x,y,-z'
'x,-y,z'
loop_
_atom_site_label
_atom_site_fract_x
_atom_site_fract_y
_atom_site_fract_z
Cu1 0.0000 0.0000 0.0000
Os1 0.0000 0.5000 0.5000
Se1 0.5000 0.0000 0.5000
Se2 0.5000 0.5000 0.0000
```

Computed properties:
**E**: -5.51 eV/atom
**Polymorph energy (0 for the lowest one)**: 1.28 eV/f.u.
**Formation energy without anion corrections**: 552 meV/atom
**Calculated volume**: 60 Å³/f.u.

=====

# 11
CuSi4Os: relaxed, GGA-PBEsol.

CIF file:
```
data_CuSi4Os
_symmetry_space_group_name_H-M 'F -4 3 m'
_symmetry_Int_Tables_number 216
_symmetry_space_group_name_Hall 'F -4 2 3'
_cell_length_a 6.8224
_cell_length_b 6.8224
_cell_length_c 6.8224
_cell_angle_alpha 90.00
_cell_angle_beta 90.00
_cell_angle_gamma 90.00
loop_
_atom_site_label
_atom_site_fract_x
_atom_site_fract_y
_atom_site_fract_z
Cu1 0.0000 0.0000 0.0000
Si1 0.1250 0.1250 0.3750
Os1 0.2500 0.2500 0.7500
```

Computed properties:
**E**: -6.02 eV/atom
**Formation energy without anion corrections**: 571 meV/atom
**Calculated volume**: 79 Å³/f.u.

=====

# 12
CuSi2Os: relaxed, GGA-PBEsol.

CIF file:
```
data_CuSi2Os
_symmetry_space_group_name_H-M 'I -4 m 2'
_symmetry_Int_Tables_number 119
_symmetry_space_group_name_Hall 'I -4 -2'
_cell_length_a 3.6091
_cell_length_b 3.6091
_cell_length_c 7.6701
_cell_angle_alpha 90.00
_cell_angle_beta 90.00
_cell_angle_gamma 90.00
loop_
_atom_site_label
_atom_site_fract_x
_atom_site_fract_y
_atom_site_fract_z
Cu1 0.0000 0.0000 0.0000
Si1 0.0000 0.0000 0.5000
Si2 0.0000 0.5000 0.2500
Os1 0.0000 0.5000 0.7500
```

Computed properties:
**E**: -7.04 eV/atom
**Polymorph energy (0 for the lowest one)**: 0.56 eV/f.u.
**Formation energy without anion corrections**: -25 meV/atom
**Calculated volume**: 50 Å³/f.u.

=====

# 13
CuSi2Os: relaxed, GGA-PBEsol.

CIF file:
```
data_CuSi2Os
_symmetry_space_group_name_H-M 'P 4 m m'
_symmetry_Int_Tables_number 99
_cell_length_a 3.2128
_cell_length_b 3.2128
_cell_length_c 4.9399
_cell_angle_alpha 90.00
_cell_angle_beta 90.00
_cell_angle_gamma 90.00
loop_
_symmetry_equiv_pos_as_xyz
'x,y,z'
'-y,x,z'
'-x,-y,z'
'y,-x,z'
'-x,y,z'
'y,x,z'
'x,-y,z'
'-y,-x,z'
loop_
_atom_site_label
_atom_site_fract_x
_atom_site_fract_y
_atom_site_fract_z
Cu1 0.0000 0.0000 0.0000
Si1 0.0000 0.0000 0.5232
Si2 0.5000 0.5000 0.8175
Os1 0.5000 0.5000 0.3185
```

Computed properties:
**E**: -7.17 eV/atom
**Polymorph energy (0 for the lowest one)**: 0.00 eV/f.u.
**Formation energy without anion corrections**: -164 meV/atom
**Calculated volume**: 51 Å³/f.u.

=====

# 14
CuSi3Os: relaxed, GGA-PBEsol.

CIF file:
```
data_CuSi3Os
_symmetry_space_group_name_H-M 'P m -3 m'
_symmetry_Int_Tables_number 221
_symmetry_space_group_name_Hall '-P 4 2 3'
_cell_length_a 4.2790
_cell_length_b 4.2790
_cell_length_c 4.2790
_cell_angle_alpha 90.00
_cell_angle_beta 90.00
_cell_angle_gamma 90.00
loop_
_atom_site_label
_atom_site_fract_x
_atom_site_fract_y
_atom_site_fract_z
Cu1 0.0000 0.0000 0.0000
Si1 0.0000 0.0000 0.5000
Os1 0.5000 0.5000 0.5000
```

Computed properties:
**E**: -5.53 eV/atom
**Formation energy without anion corrections**: 1224 meV/atom
**Calculated volume**: 78 Å³/f.u.

=====

# 15
CuSi2Os: relaxed, GGA-PBEsol.

CIF file:
```
data_CuSi2Os
_symmetry_space_group_name_H-M 'P 4 m m'
_symmetry_Int_Tables_number 99
_cell_length_a 2.7320
_cell_length_b 2.7320
_cell_length_c 7.1576
_cell_angle_alpha 90.00
_cell_angle_beta 90.00
_cell_angle_gamma 90.00
loop_
_symmetry_equiv_pos_as_xyz
'x,y,z'
'-y,x,z'
'-x,-y,z'
'y,-x,z'
'-x,y,z'
'y,x,z'
'x,-y,z'
'-y,-x,z'
loop_
_atom_site_label
_atom_site_fract_x
_atom_site_fract_y
_atom_site_fract_z
Cu1 0.0000 0.0000 0.0000
Si1 0.0000 0.0000 0.4759
Si2 0.5000 0.5000 0.7691
Os1 0.5000 0.5000 0.2591
```

Computed properties:
**E**: -6.79 eV/atom
**Polymorph energy (0 for the lowest one)**: 1.55 eV/f.u.
**Formation energy without anion corrections**: 224 meV/atom
**Calculated volume**: 53 Å³/f.u.